The following is a DFT calculation (PBE+U) of a geometry-optimized V3InO8 structure.

## Properties
As for the volume: 12.9 A^3/atom. Its space group is Cm, No. 8. The calculated total energy comes out at -0.2642 Ha/atom.

Lattice parameters (Å, degrees): 3.8328 6.7899 6.5107 105.95 107.12 90.00
Closest atoms and distances in Å follow each position.
Fractional coordinates of all 12 atoms:
O (0.5591, 0.3297, 0.1182)  1 V 1.75
O (0.1253, 0.7034, 0.2506)  2 V 1.95
O (0.6391, 0.9898, 0.2782)  1 V 1.69
O (0.7451, 0.6316, 0.4903)  2 V 2.03-2.15, 2 In 2.08
V (0.6056, 0.7304, 0.2112)  2 O 1.69-1.76
V (0.3925, 0.2805, 0.7850)  1 O 1.70
V (0.6945, 0.3015, 0.3890)  1 O 1.75
O (0.4591, 0.6233, 0.9181)  1 V 1.76
In (0.3087, 0.7053, 0.6173)  5 O 2.06-2.28
O (0.2406, 0.3364, 0.4812)  3 V 1.99-2.03
O (0.8594, 0.3164, 0.7189)  3 V 1.99-2.03
O (0.3693, 0.0212, 0.7386)  1 V 1.70